Record 1
DFT (PBE) results for Ce4In16Ni3 after structural relaxation.

Geometry as CIF:
```
data_Ce4In16Ni3
_space_group_name_H-M_alt 'P 1'
_space_group_IT_number 1
_space_group_name_Hall 'P 1'
_cell_length_a 6.683
_cell_length_b 6.683
_cell_length_c 12.265
_cell_angle_alpha 90.00
_cell_angle_beta 90.00
_cell_angle_gamma 90.00
loop_
_atom_site_label
_atom_site_type_symbol
_atom_site_fract_x
_atom_site_fract_y
_atom_site_fract_z
Ce1 Ce 0.500 0.000 0.806
Ce2 Ce 0.000 0.500 0.194
Ce3 Ce 0.000 0.500 0.806
Ce4 Ce 0.500 0.000 0.194
In1 In 0.000 0.000 0.787
In2 In 0.272 0.272 0.000
In3 In 0.500 0.500 0.804
In4 In 0.728 0.272 0.000
In5 In 0.500 0.500 0.196
In6 In 0.728 0.728 0.000
In7 In 0.000 0.000 0.213
In8 In 0.748 0.748 0.619
In9 In 0.748 0.252 0.381
In10 In 0.252 0.252 0.619
In11 In 0.252 0.748 0.381
In12 In 0.272 0.728 0.000
In13 In 0.748 0.748 0.381
In14 In 0.748 0.252 0.619
In15 In 0.252 0.252 0.381
In16 In 0.252 0.748 0.619
Ni1 Ni 0.000 0.500 0.500
Ni2 Ni 0.000 0.000 0.000
Ni3 Ni 0.500 0.000 0.500
```

## Properties
- spin magnetization (μB per formula unit) = 3.9
- raw total energy (eV per atom) = -4.006

=====

Record 2
DFT (PBE) results for CeIn3Ni2 after structural relaxation.

Geometry as CIF:
```
data_CeIn3Ni2
_space_group_name_H-M_alt 'P 1'
_space_group_IT_number 1
_space_group_name_Hall 'P 1'
_cell_length_a 5.545
_cell_length_b 6.560
_cell_length_c 6.560
_cell_angle_alpha 94.37
_cell_angle_beta 89.92
_cell_angle_gamma 89.92
loop_
_atom_site_label
_atom_site_type_symbol
_atom_site_fract_x
_atom_site_fract_y
_atom_site_fract_z
Ce1 Ce 0.239 0.416 0.416
Ce2 Ce 0.761 0.584 0.584
In1 In 0.747 0.428 0.091
In2 In 0.747 0.091 0.428
In3 In 0.253 0.572 0.909
In4 In 0.749 0.946 0.946
In5 In 0.251 0.054 0.054
In6 In 0.253 0.909 0.572
Ni1 Ni 0.500 0.763 0.237
Ni2 Ni 0.000 0.765 0.235
Ni3 Ni 0.000 0.235 0.765
Ni4 Ni 0.500 0.237 0.763
```

## Properties
- spin magnetization (μB per formula unit) = 0.6
- raw total energy (eV per atom) = -4.544